1.
# TcPtRh2 | Alexandria | GGA-PBE | optimized geometry
data_TcPtRh2
_space_group_name_H-M_alt 'P m m m'
_space_group_IT_number 47
_cell_length_a 2.726
_cell_length_b 3.873
_cell_length_c 5.520
_cell_angle_alpha 90.00
_cell_angle_beta 90.00
_cell_angle_gamma 90.00
loop_
_space_group_symop_operation_xyz
'x,y,z'
'-x,-y,-z'
'-x,-y,z'
'x,y,-z'
'x,-y,-z'
'-x,y,z'
'-x,y,-z'
'x,-y,z'
loop_
_atom_site_label
_atom_site_fract_x
_atom_site_fract_y
_atom_site_fract_z
Tc1 0.000 0.000 0.000
Pt1 0.000 0.000 0.500
Rh1 0.500 0.500 0.239
# ρ = 14.218 g/cm3
# energy relative to the lowest polymorph listed for this composition = 25.0 meV/atom
# DFT formation energy = -0.119 eV per atom



2.
# TcPtRh | Alexandria | GGA-PBE | optimized geometry
data_TcPtRh
_space_group_name_H-M_alt 'C 1 m 1'
_space_group_IT_number 8
_cell_length_a 13.542
_cell_length_b 2.738
_cell_length_c 4.795
_cell_angle_alpha 90.00
_cell_angle_beta 97.00
_cell_angle_gamma 90.00
loop_
_space_group_symop_operation_xyz
'x,y,z'
'x,-y,z'
'x+1/2,y+1/2,z'
'x+1/2,-y+1/2,z'
loop_
_atom_site_label
_atom_site_fract_x
_atom_site_fract_y
_atom_site_fract_z
Tc1 0.000 0.000 0.000
Tc2 0.166 0.000 0.727
Pt1 0.163 0.500 0.221
Pt2 0.335 0.500 0.616
Rh1 0.007 0.500 0.510
Rh2 0.339 0.000 0.106
# ρ = 14.904 g/cm3
# energy relative to the lowest polymorph listed for this composition = 37.3 meV/atom
# DFT formation energy = -0.137 eV per atom



3.
# Tc2PtRh | Alexandria | GGA-PBE | optimized geometry
data_Tc2PtRh
_space_group_name_H-M_alt 'I 4/m m m'
_space_group_IT_number 139
_space_group_name_Hall '-I 4 2'
_cell_length_a 3.820
_cell_length_b 3.820
_cell_length_c 7.994
_cell_angle_alpha 90.00
_cell_angle_beta 90.00
_cell_angle_gamma 90.00
loop_
_atom_site_label
_atom_site_fract_x
_atom_site_fract_y
_atom_site_fract_z
Tc1 0.000 0.500 0.250
Pt1 0.000 0.000 0.000
Rh1 0.000 0.000 0.500
# ρ = 14.066 g/cm3
# energy relative to the lowest polymorph listed for this composition = 60.3 meV/atom
# DFT formation energy = -0.107 eV per atom